{"formula": "Y11Cd9Ir4", "functional": "GGA-PBE", "state": "optimized geometry", "cell": [[7.238, -10.836, 0.000], [7.238, 10.836, 0.000], [0.000, 0.000, 3.730]], "species": ["Y", "Y", "Y", "Y", "Y", "Y", "Y", "Y", "Y", "Y", "Y", "Cd", "Cd", "Cd", "Cd", "Cd", "Cd", "Cd", "Cd", "Cd", "Ir", "Ir", "Ir", "Ir"], "fractional_positions": [[0.000, 0.000, 0.000], [0.086, 0.417, 0.000], [0.164, 0.836, 0.000], [0.300, 0.300, 0.000], [0.367, 0.633, 0.000], [0.417, 0.086, 0.000], [0.583, 0.914, 0.000], [0.633, 0.367, 0.000], [0.700, 0.700, 0.000], [0.836, 0.164, 0.000], [0.914, 0.583, 0.000], [0.065, 0.212, 0.500], [0.150, 0.633, 0.500], [0.212, 0.065, 0.500], [0.367, 0.850, 0.500], [0.500, 0.500, 0.500], [0.633, 0.150, 0.500], [0.788, 0.935, 0.500], [0.850, 0.367, 0.500], [0.935, 0.788, 0.500], [0.258, 0.452, 0.500], [0.452, 0.258, 0.500], [0.548, 0.742, 0.500], [0.742, 0.548, 0.500]], "delta_e_f_kj_per_mol_atoms": -51}

***

{"formula": "TbAsBrO4", "functional": "GGA-PBE", "state": "optimized geometry", "cell": [[5.833, -3.188, 0.000], [5.833, 3.188, 0.000], [-1.440, 0.000, 6.665]], "species": ["Tb", "Tb", "As", "As", "Br", "Br", "O", "O", "O", "O", "O", "O", "O", "O"], "fractional_positions": [[0.203, 0.203, 0.329], [0.797, 0.797, 0.671], [0.135, 0.135, 0.762], [0.865, 0.865, 0.238], [0.479, 0.479, 0.828], [0.521, 0.521, 0.172], [0.013, 0.013, 0.267], [0.023, 0.613, 0.373], [0.204, 0.204, 0.006], [0.387, 0.977, 0.627], [0.613, 0.023, 0.373], [0.796, 0.796, 0.994], [0.977, 0.387, 0.627], [0.987, 0.987, 0.733]], "e_form_raw_kj_per_mol_atoms": -184.2}

***

{"formula": "SmAlZn6Cu", "functional": "GGA-PBE", "state": "optimized geometry", "cell": [[-3.397, 4.465, 5.468], [3.397, -4.465, 5.468], [3.397, 4.465, -5.468]], "species": ["Sm", "Sm", "Al", "Al", "Zn", "Zn", "Zn", "Zn", "Zn", "Zn", "Zn", "Zn", "Zn", "Zn", "Zn", "Zn", "Cu", "Cu"], "fractional_positions": [[0.452, 0.202, 0.250], [0.548, 0.798, 0.750], [0.000, 0.000, 0.500], [0.000, 0.500, 0.000], [0.129, 0.433, 0.314], [0.129, 0.815, 0.696], [0.173, 0.923, 0.250], [0.242, 0.492, 0.750], [0.381, 0.185, 0.814], [0.381, 0.567, 0.196], [0.619, 0.433, 0.804], [0.619, 0.815, 0.186], [0.758, 0.508, 0.250], [0.827, 0.077, 0.750], [0.871, 0.185, 0.304], [0.871, 0.567, 0.686], [0.000, 0.000, 0.000], [0.500, 0.000, 0.500]], "delta_e_f_kj_per_mol_atoms": 2}

***

{"formula": "SrScCo3", "functional": "GGA-PBE", "state": "optimized geometry", "cell": [[4.667, 0.000, 0.000], [0.000, 4.667, 0.000], [0.000, 0.000, 4.667]], "species": ["Sr", "Sc", "Co", "Co", "Co"], "fractional_positions": [[0.000, 0.000, 0.000], [0.500, 0.500, 0.500], [0.000, 0.500, 0.500], [0.500, 0.000, 0.500], [0.500, 0.500, 0.000]], "delta_e_f_kj_per_mol_atoms": 80, "polymorph_energy_ev_per_fu": 0.00}

***

{"formula": "TaBeSb2", "functional": "GGA-PBE", "state": "optimized geometry", "cell": [[-2.006, 2.006, 4.901], [2.006, -2.006, 4.901], [2.006, 2.006, -4.901]], "species": ["Ta", "Be", "Sb", "Sb"], "fractional_positions": [[0.000, 0.000, 0.000], [0.250, 0.750, 0.500], [0.500, 0.500, 0.000], [0.750, 0.250, 0.500]], "e_form_raw_kj_per_mol_atoms": 56.8}

***

{"formula": "UTc2C", "functional": "GGA-PBE", "state": "optimized geometry", "cell": [[3.046, 0.000, 0.000], [0.000, 7.423, 0.000], [-1.520, 0.000, 5.009]], "species": ["U", "U", "Tc", "Tc", "Tc", "Tc", "C", "C"], "fractional_positions": [[0.061, 0.250, 0.120], [0.939, 0.750, 0.880], [0.352, 0.056, 0.705], [0.352, 0.444, 0.705], [0.648, 0.556, 0.295], [0.648, 0.944, 0.295], [0.219, 0.750, 0.437], [0.781, 0.250, 0.563]], "delta_e_f_kj_per_mol_atoms": 14, "polymorph_energy_ev_per_fu": 0.00}

***

| no. | theoretical density (Mg/m³) | magnetic moment (μB/atom) | E_tot (eV/atom) |
| --- | --- | --- | --- |
| 1 | 7.829 | 0.0000 | -5.314 |
| 2 | 5.061 | 0.0000 | -6.307 |
| 3 | 6.341 | 0.0000 | -2.225 |
| 4 | 5.053 | 0.3683 | -5.034 |
| 5 | 9.129 | 0.0000 | -5.367 |
| 6 | 13.080 | 0.1529 | -10.164 |